(1)
BePS2N | GGA-PBE | optimized geometry

Summary:
Energy relative to the elements, uncorrected in eV/atom: 1.23
Energy above the lowest structure with this stoichiometry in kJ/mol of formula units: 256

a = 4.298 Å, b = 4.298 Å, c = 3.693 Å
α = 90.00°, β = 90.00°, γ = 90.00°
Positions (direct):
Be (0.000, 0.000, 0.000)
P (0.500, 0.500, 0.000)
S (0.000, 0.500, 0.500)
S (0.500, 0.000, 0.500)
N (0.500, 0.500, 0.500)

(2)
Rb2PbI6O | GGA-PBE | optimized geometry

Summary:
Energy relative to the elements, uncorrected in eV/atom: -0.58

a = 8.949 Å, b = 8.949 Å, c = 8.949 Å
α = 128.46°, β = 128.46°, γ = 75.88°
Positions (direct):
Rb (0.250, 0.750, 0.500)
Rb (0.750, 0.250, 0.500)
Pb (0.000, 0.000, 0.000)
I (0.227, 0.227, 0.000)
I (0.279, 0.279, 0.559)
I (0.279, 0.721, 0.000)
I (0.721, 0.279, 0.000)
I (0.721, 0.721, 0.441)
I (0.773, 0.773, 0.000)
O (0.500, 0.500, 0.000)

(3)
Cd2Pd2Au | GGA-PBE | optimized geometry

Summary:
Formation energy from the elements in eV per atom: -0.25
Energy above the lowest structure with this stoichiometry in kJ/mol of formula units: 16

a = 7.116 Å, b = 7.116 Å, c = 3.728 Å
α = 90.00°, β = 90.00°, γ = 90.00°
Positions (direct):
Cd (0.164, 0.336, 0.000)
Cd (0.336, 0.836, 0.000)
Cd (0.664, 0.164, 0.000)
Cd (0.836, 0.664, 0.000)
Pd (0.136, 0.636, 0.500)
Pd (0.364, 0.136, 0.500)
Pd (0.636, 0.864, 0.500)
Pd (0.864, 0.364, 0.500)
Au (0.000, 0.000, 0.500)
Au (0.500, 0.500, 0.500)

(4)
RePbC2 | GGA-PBE | optimized geometry

Summary:
Formation energy from the elements in eV per atom: 0.91

a = 6.205 Å, b = 6.205 Å, c = 6.205 Å
α = 128.63°, β = 128.63°, γ = 75.60°
Positions (direct):
Re (0.000, 0.000, 0.000)
Re (0.750, 0.250, 0.500)
Pb (0.250, 0.750, 0.500)
Pb (0.500, 0.500, 0.000)
C (0.375, 0.247, 0.372)
C (0.753, 0.125, 0.128)
C (0.875, 0.003, 0.628)
C (0.997, 0.625, 0.872)

(5)
CrReIr2 | GGA-PBE | optimized geometry

Summary:
Formation energy from the elements in eV per atom: 0.09
Energy above the lowest structure with this stoichiometry in kJ/mol of formula units: 135

a = 10.027 Å, b = 10.027 Å, c = 4.314 Å
α = 90.00°, β = 90.00°, γ = 164.51°
Positions (direct):
Cr (0.093, 0.907, 0.750)
Cr (0.907, 0.093, 0.250)
Re (0.274, 0.726, 0.250)
Re (0.726, 0.274, 0.750)
Ir (0.345, 0.655, 0.750)
Ir (0.470, 0.530, 0.750)
Ir (0.530, 0.470, 0.250)
Ir (0.655, 0.345, 0.250)

(6)
Pm4YEr2 | GGA-PBE | optimized geometry

Summary:
Formation energy from the elements in eV per atom: 0.26
Energy above the lowest structure with this stoichiometry in kJ/mol of formula units: 138

a = 9.002 Å, b = 9.002 Å, c = 9.002 Å
α = 135.22°, β = 101.51°, γ = 95.20°
Positions (direct):
Pm (0.151, 0.147, 0.004)
Pm (0.239, 0.210, 0.470)
Pm (0.239, 0.769, 0.030)
Pm (0.357, 0.853, 0.504)
Pm (0.643, 0.147, 0.496)
Pm (0.761, 0.231, 0.970)
Pm (0.761, 0.790, 0.530)
Pm (0.849, 0.853, 0.996)
Y (0.500, 0.000, 0.000)
Y (0.500, 0.500, 0.500)
Er (0.000, 0.500, 0.500)
Er (0.032, 0.282, 0.750)
Er (0.500, 0.500, 0.000)
Er (0.968, 0.718, 0.250)

(7)
SbTeMoN2 | GGA-PBE | optimized geometry

Summary:
Energy relative to the elements, uncorrected in eV/atom: 1.63
Energy above the lowest structure with this stoichiometry in kJ/mol of formula units: 441

a = 4.024 Å, b = 4.024 Å, c = 6.909 Å
α = 90.00°, β = 90.00°, γ = 90.00°
Positions (direct):
Sb (0.000, 0.000, 0.000)
Te (0.000, 0.000, 0.500)
Mo (0.500, 0.500, 0.500)
N (0.000, 0.500, 0.000)
N (0.500, 0.000, 0.000)

(8)
U2VRu9 | GGA-PBE | optimized geometry

Summary:
Formation energy from the elements in eV per atom: -0.23

a = 3.961 Å, b = 3.961 Å, c = 11.682 Å
α = 90.00°, β = 90.00°, γ = 90.00°
Positions (direct):
U (0.000, 0.000, 0.173)
U (0.000, 0.000, 0.827)
V (0.000, 0.000, 0.500)
Ru (0.000, 0.500, 0.000)
Ru (0.000, 0.500, 0.348)
Ru (0.000, 0.500, 0.652)
Ru (0.500, 0.000, 0.000)
Ru (0.500, 0.000, 0.348)
Ru (0.500, 0.000, 0.652)
Ru (0.500, 0.500, 0.174)
Ru (0.500, 0.500, 0.500)
Ru (0.500, 0.500, 0.826)

(9)
SrMgRh2 | GGA-PBE | optimized geometry

Summary:
Formation energy from the elements in eV per atom: -0.06

a = 3.396 Å, b = 4.446 Å, c = 5.826 Å
α = 90.00°, β = 106.81°, γ = 90.00°
Positions (direct):
Sr (0.000, 0.000, 0.000)
Mg (0.709, 0.500, 0.414)
Rh (0.267, 0.000, 0.530)
Rh (0.394, 0.500, 0.785)

(10)
Tm6In5Pb | GGA-PBE | optimized geometry

Summary:
Formation energy from the elements in eV per atom: -0.32
Energy above the lowest structure with this stoichiometry in kJ/mol of formula units: 107

a = 6.257 Å, b = 6.257 Å, c = 9.923 Å
α = 95.68°, β = 95.68°, γ = 119.05°
Positions (direct):
Tm (0.077, 0.414, 0.246)
Tm (0.248, 0.248, 0.751)
Tm (0.414, 0.077, 0.246)
Tm (0.586, 0.923, 0.754)
Tm (0.752, 0.752, 0.249)
Tm (0.923, 0.586, 0.754)
In (0.000, 0.000, 0.000)
In (0.168, 0.832, 0.500)
In (0.336, 0.664, 0.000)
In (0.664, 0.336, 0.000)
In (0.832, 0.168, 0.500)
Pb (0.500, 0.500, 0.500)

(11)
Dy2Be4AlPt3 | GGA-PBE | optimized geometry

Summary:
Formation energy from the elements in eV per atom: -0.77

a = 3.876 Å, b = 3.876 Å, c = 10.274 Å
α = 90.00°, β = 90.00°, γ = 90.00°
Positions (direct):
Dy (0.000, 0.500, 0.246)
Dy (0.500, 0.000, 0.754)
Be (0.000, 0.000, 0.000)
Be (0.000, 0.500, 0.643)
Be (0.500, 0.000, 0.357)
Be (0.500, 0.500, 0.000)
Al (0.000, 0.000, 0.500)
Pt (0.000, 0.500, 0.875)
Pt (0.500, 0.000, 0.125)
Pt (0.500, 0.500, 0.500)

(12)
PaBiPtAu | GGA-PBE | optimized geometry

Summary:
Formation energy from the elements in eV per atom: -0.46

a = 5.022 Å, b = 5.022 Å, c = 5.022 Å
α = 60.00°, β = 60.00°, γ = 60.00°
Positions (direct):
Pa (0.000, 0.000, 0.000)
Bi (0.500, 0.500, 0.500)
Pt (0.750, 0.750, 0.750)
Au (0.250, 0.250, 0.250)

| no. | DFT total energy (eV per atom) |
| --- | --- |
| 1 | -3.9083 |
| 2 | -2.5685 |
| 3 | -3.3530 |
| 4 | -7.7363 |
| 5 | -9.8592 |
| 6 | -4.6822 |
| 7 | -5.3152 |
| 8 | -9.8257 |
| 9 | -4.5589 |
| 10 | -4.0038 |
| 11 | -5.3699 |
| 12 | -6.1377 |